1.
Entry from the Alexandria database: a PBEsol-optimized structure of Al2CuW (SCAN).

Lattice parameters (Å, degrees): 8.738 8.738 8.738 18.47 18.47 18.47
Fractional positions:
Al (0.000, 0.000, 0.000)
Al (0.244, 0.244, 0.244)
Cu (0.742, 0.742, 0.742)
W (0.492, 0.492, 0.492)

## Properties
Space-group type   R3m (160)
Theoretical density   8.558 g/cm3
Calculated formation energy   0.07 eV/atom
Total magnetization   0.0 μB/cell
Polymorph energy (0 for the lowest one)   71 kJ/mol of formula units
VASP energy   -100.11 eV per cell


2.
Entry from the Alexandria database: a PBEsol-optimized structure of Tc5Ru (SCAN).

Lattice parameters (Å, degrees): 5.111 5.111 6.403 103.44 103.44 30.71
Fractional positions:
Tc (0.000, 0.000, 0.000)
Tc (0.056, 0.056, 0.612)
Tc (0.331, 0.331, 0.665)
Tc (0.387, 0.387, 0.280)
Tc (0.721, 0.721, 0.948)
Ru (0.665, 0.665, 0.335)

## Properties
Space-group type   Cm (8)
Theoretical density   11.836 g/cm3
Calculated formation energy   -0.04 eV/atom
Total magnetization   0.0 μB/cell
Polymorph energy (0 for the lowest one)   0 kJ/mol of formula units
VASP energy   -210.35 eV per cell


3.
Entry from the Alexandria database: a PBEsol-optimized structure of SnBP2S (SCAN).

Lattice parameters (Å, degrees): 4.972 4.972 4.942 90.00 90.00 90.00
Fractional positions:
Sn (0.000, 0.000, 0.000)
B (0.500, 0.500, 0.500)
P (0.000, 0.500, 0.000)
P (0.500, 0.000, 0.000)
S (0.000, 0.000, 0.500)

## Properties
Space-group type   P4/mmm (123)
Energy relative to the elements, uncorrected   1.8797 eV per atom
Theoretical density   3.039 g/cm3
Total magnetization   1.5 μB/cell
VASP energy   -64.38 eV per cell


4.
Entry from the Alexandria database: a PBEsol-optimized structure of Hg2SbPt (SCAN).

Lattice parameters (Å, degrees): 8.140 8.140 8.140 26.06 26.06 26.06
Fractional positions:
Hg (0.000, 0.000, 0.000)
Hg (0.245, 0.245, 0.245)
Sb (0.475, 0.475, 0.475)
Pt (0.745, 0.745, 0.745)

## Properties
Space-group type   R3m (160)
Energy relative to the elements, uncorrected   -0.1370 eV per atom
Theoretical density   13.006 g/cm3
Total magnetization   0.0 μB/cell
VASP energy   -244.33 eV per cell


5.
Entry from the Alexandria database: a PBEsol-optimized structure of CaCr3P3O13 (SCAN).

Lattice parameters (Å, degrees): 7.394 6.258 10.182 90.00 100.87 90.00
Fractional positions:
Ca (0.168, 0.250, 0.201)
Ca (0.832, 0.750, 0.799)
Cr (0.140, 0.250, 0.803)
Cr (0.269, 0.750, 0.440)
Cr (0.500, 0.000, 0.000)
Cr (0.500, 0.500, 0.000)
Cr (0.731, 0.250, 0.560)
Cr (0.860, 0.750, 0.197)
P (0.185, 0.750, 0.111)
P (0.239, 0.750, 0.765)
P (0.292, 0.250, 0.519)
P (0.708, 0.750, 0.481)
P (0.761, 0.250, 0.235)
P (0.815, 0.250, 0.889)
O (0.014, 0.250, 0.969)
O (0.118, 0.560, 0.791)
O (0.118, 0.940, 0.791)
O (0.142, 0.750, 0.256)
O (0.160, 0.250, 0.618)
O (0.250, 0.059, 0.420)
O (0.250, 0.441, 0.420)
O (0.292, 0.545, 0.093)
O (0.292, 0.955, 0.093)
O (0.299, 0.750, 0.631)
O (0.379, 0.250, 0.901)
O (0.420, 0.750, 0.876)
O (0.491, 0.250, 0.598)
O (0.509, 0.750, 0.402)
O (0.580, 0.250, 0.124)
O (0.621, 0.750, 0.099)
O (0.701, 0.250, 0.369)
O (0.708, 0.045, 0.907)
O (0.708, 0.455, 0.907)
O (0.750, 0.559, 0.580)
O (0.750, 0.941, 0.580)
O (0.840, 0.750, 0.382)
O (0.858, 0.250, 0.744)
O (0.882, 0.060, 0.209)
O (0.882, 0.440, 0.209)
O (0.986, 0.750, 0.031)

## Properties
Space-group type   P2_1/m (11)
Energy relative to the elements, uncorrected   -2.6750 eV per atom
Theoretical density   3.567 g/cm3
Total magnetization   18.0 μB/cell
VASP energy   -461.04 eV per cell


6.
Entry from the Alexandria database: a PBEsol-optimized structure of InGaSb2 (SCAN).

Lattice parameters (Å, degrees): 4.456 4.456 6.336 90.00 90.00 90.00
Fractional positions:
In (0.000, 0.000, 0.000)
Ga (0.500, 0.500, 0.500)
Sb (0.000, 0.500, 0.267)
Sb (0.500, 0.000, 0.733)

## Properties
Space-group type   P-4m2 (115)
Energy relative to the elements, uncorrected   -0.1460 eV per atom
Theoretical density   5.650 g/cm3
Total magnetization   0.0 μB/cell
Polymorph energy (0 for the lowest one)   4 kJ/mol of formula units
VASP energy   -124.84 eV per cell


7.
Entry from the Alexandria database: a PBEsol-optimized structure of NaInP2Ir (SCAN).

Lattice parameters (Å, degrees): 4.826 4.826 4.802 90.00 90.00 90.00
Fractional positions:
Na (0.000, 0.000, 0.000)
In (0.000, 0.000, 0.500)
P (0.000, 0.500, 0.500)
P (0.500, 0.000, 0.500)
Ir (0.500, 0.500, 0.000)

## Properties
Space-group type   P4/mmm (123)
Theoretical density   5.820 g/cm3
Calculated formation energy   1.70 eV/atom
Total magnetization   0.0 μB/cell
VASP energy   -121.01 eV per cell


8.
Entry from the Alexandria database: a PBEsol-optimized structure of LiCrFe (SCAN).

Lattice parameters (Å, degrees): 6.646 6.646 6.646 159.75 159.75 28.79
Fractional positions:
Li (0.000, 0.000, 0.000)
Cr (0.679, 0.679, 0.000)
Fe (0.333, 0.333, 0.000)

## Properties
Space-group type   I4mm (107)
Theoretical density   5.423 g/cm3
Calculated formation energy   0.43 eV/atom
Total magnetization   2.9 μB/cell
VASP energy   -37.62 eV per cell


9.
Entry from the Alexandria database: a PBEsol-optimized structure of Li4Cr3Co2Sb3O16 (SCAN).

Lattice parameters (Å, degrees): 5.994 5.994 9.597 90.53 90.53 60.42
Fractional positions:
Li (0.000, 0.000, 0.000)
Li (0.005, 0.005, 0.514)
Li (0.355, 0.355, 0.409)
Li (0.688, 0.688, 0.883)
Cr (0.191, 0.684, 0.725)
Cr (0.684, 0.191, 0.725)
Cr (0.855, 0.855, 0.226)
Co (0.367, 0.367, 0.989)
Co (0.692, 0.692, 0.519)
Sb (0.192, 0.192, 0.723)
Sb (0.361, 0.856, 0.224)
Sb (0.856, 0.361, 0.224)
O (0.020, 0.020, 0.329)
O (0.020, 0.020, 0.820)
O (0.058, 0.506, 0.845)
O (0.181, 0.181, 0.106)
O (0.182, 0.704, 0.115)
O (0.337, 0.861, 0.610)
O (0.357, 0.357, 0.614)
O (0.503, 0.503, 0.837)
O (0.506, 0.058, 0.845)
O (0.539, 0.539, 0.346)
O (0.543, 0.991, 0.341)
O (0.694, 0.694, 0.110)
O (0.704, 0.182, 0.115)
O (0.858, 0.858, 0.621)
O (0.861, 0.337, 0.610)
O (0.991, 0.543, 0.341)

## Properties
Space-group type   Cm (8)
Energy relative to the elements, uncorrected   -1.9146 eV per atom
Theoretical density   5.110 g/cm3
Total magnetization   14.9 μB/cell
VASP energy   -364.41 eV per cell


10.
Entry from the Alexandria database: a PBEsol-optimized structure of Pr2CdNi2 (SCAN).

Lattice parameters (Å, degrees): 7.409 7.409 3.804 90.00 90.00 90.00
Fractional positions:
Pr (0.177, 0.323, 0.000)
Pr (0.323, 0.823, 0.000)
Pr (0.677, 0.177, 0.000)
Pr (0.823, 0.677, 0.000)
Cd (0.000, 0.000, 0.500)
Cd (0.500, 0.500, 0.500)
Ni (0.117, 0.617, 0.500)
Ni (0.383, 0.117, 0.500)
Ni (0.617, 0.883, 0.500)
Ni (0.883, 0.383, 0.500)

## Properties
Space-group type   P4/mbm (127)
Theoretical density   8.137 g/cm3
Calculated formation energy   -0.33 eV/atom
Total magnetization   0.0 μB/cell
VASP energy   -302.12 eV per cell


11.
Entry from the Alexandria database: a PBEsol-optimized structure of PRh3S (SCAN).

Lattice parameters (Å, degrees): 4.303 4.303 4.303 90.00 90.00 90.00
Fractional positions:
P (0.000, 0.000, 0.000)
Rh (0.000, 0.500, 0.500)
Rh (0.500, 0.000, 0.500)
Rh (0.500, 0.500, 0.000)
S (0.500, 0.500, 0.500)

## Properties
Space-group type   Pm-3m (221)
Energy relative to the elements, uncorrected   0.4787 eV per atom
Theoretical density   7.746 g/cm3
Total magnetization   0.8 μB/cell
VASP energy   -118.95 eV per cell


12.
Entry from the Alexandria database: a PBEsol-optimized structure of Na2MnSbAs (SCAN).

Lattice parameters (Å, degrees): 5.279 5.279 4.833 90.00 90.00 90.00
Fractional positions:
Na (0.000, 0.500, 0.000)
Na (0.500, 0.000, 0.000)
Mn (0.000, 0.000, 0.000)
Sb (0.000, 0.000, 0.500)
As (0.500, 0.500, 0.500)

## Properties
Space-group type   P4/mmm (123)
Energy relative to the elements, uncorrected   0.4511 eV per atom
Theoretical density   3.669 g/cm3
Total magnetization   4.3 μB/cell
VASP energy   -81.88 eV per cell